# RbPrY4S8

An optimized crystal structure of RbPrY4S8 (PBE, Alexandria).

Values from the calculation:
* size of the total moment: 0.0000 μB per atom
* raw formation energy: -1.90 eV/atom
* theoretical density: 3.39 g/cm3

abc: 8.276 8.276 8.419
angles: 60.56 60.56 60.00
Fractional positions:
Pr1 0.005 0.005 0.986
S1 0.753 0.753 0.263
Y1 0.004 0.004 0.505
Y2 0.625 0.625 0.124
S2 0.757 0.757 0.729
Y3 0.004 0.487 0.505
S3 0.238 0.804 0.720
S4 0.753 0.232 0.263
S5 0.238 0.238 0.720
S6 0.232 0.753 0.263
Y4 0.487 0.004 0.505
S7 0.230 0.230 0.311
Rb1 0.370 0.370 0.889
S8 0.804 0.238 0.720

---

# Os2SeCl

An optimized crystal structure of Os2SeCl (PBE, Alexandria).

Values from the calculation:
* size of the total moment: 0.0000 μB per atom
* raw formation energy: 1.13 eV/atom
* energy above the most stable polymorph in this dataset: 910 meV/atom
* theoretical density: 13.02 g/cm3

abc: 4.345 4.345 4.345
angles: 110.43 110.43 107.58
Fractional positions:
Os1 0.000 0.000 0.000
Se1 0.500 0.500 0.000
Os2 0.250 0.750 0.500
Cl1 0.750 0.250 0.500

---

# SrZn4Si

An optimized crystal structure of SrZn4Si (PBE, Alexandria).

Values from the calculation:
* size of the total moment: 0.0000 μB per atom
* raw formation energy: 0.06 eV/atom
* theoretical density: 5.35 g/cm3

abc: 5.493 5.493 5.493
angles: 60.00 60.00 60.00
Fractional positions:
Zn1 0.376 0.872 0.376
Zn2 0.872 0.376 0.376
Zn3 0.376 0.376 0.376
Zn4 0.376 0.376 0.872
Sr1 0.000 0.000 0.000
Si1 0.750 0.750 0.750

---

# K2NaAgO

An optimized crystal structure of K2NaAgO (PBE, Alexandria).

Values from the calculation:
* size of the total moment: 0.0104 μB per atom
* raw formation energy: -0.61 eV/atom
* theoretical density: 2.72 g/cm3

abc: 5.476 5.476 4.586
angles: 90.00 90.00 90.00
Fractional positions:
Ag1 0.500 0.500 0.500
K1 0.000 0.500 0.000
Na1 0.000 0.000 0.500
K2 0.500 0.000 0.000
O1 0.000 0.000 0.000

---

# SbTe2As

An optimized crystal structure of SbTe2As (PBE, Alexandria).

Values from the calculation:
* size of the total moment: 0.0000 μB per atom
* raw formation energy: 0.36 eV/atom
* energy above the most stable polymorph in this dataset: 304 meV/atom
* theoretical density: 6.01 g/cm3

abc: 7.857 7.857 7.857
angles: 149.46 149.46 43.73
Fractional positions:
Sb1 0.750 0.250 0.500
Te1 0.250 0.750 0.500
Te2 0.000 0.000 0.000
As1 0.500 0.500 0.000

---

# TaBe8Tc3

An optimized crystal structure of TaBe8Tc3 (PBE, Alexandria).

Values from the calculation:
* DFT formation energy: -0.41 eV per atom
* size of the total moment: 0.0000 μB per atom
* theoretical density: 7.43 g/cm3

abc: 4.413 4.413 7.249
angles: 90.00 90.00 120.00
Fractional positions:
Be1 0.333 0.667 0.497
Be2 0.994 0.497 0.756
Tc1 0.667 0.333 0.061
Be3 0.164 0.836 0.245
Be4 0.164 0.329 0.245
Tc2 0.667 0.333 0.436
Be5 0.671 0.836 0.245
Ta1 0.000 0.000 0.562
Be6 0.333 0.667 0.002
Be7 0.503 0.497 0.756
Be8 0.503 0.006 0.756
Tc3 0.000 0.000 0.939

---

# Rb2TmAsSe4

An optimized crystal structure of Rb2TmAsSe4 (PBE, Alexandria).

Values from the calculation:
* size of the total moment: 0.0000 μB per atom
* raw formation energy: -1.04 eV/atom
* theoretical density: 5.18 g/cm3

abc: 8.718 8.718 8.691
angles: 119.89 119.89 90.01
Fractional positions:
Se1 0.806 0.263 0.035
Rb1 0.000 0.000 0.500
As1 0.500 0.500 0.500
Tm1 0.000 0.500 0.500
Se2 0.237 0.694 0.465
Rb2 0.500 0.000 0.000
As2 0.000 0.000 0.000
Se3 0.763 0.306 0.535
Se4 0.194 0.737 0.965
Se5 0.767 0.733 0.542
Se6 0.233 0.267 0.458
Rb3 0.500 0.000 0.500
Tm2 0.000 0.500 0.000
Rb4 0.500 0.500 0.000
Se7 0.233 0.267 0.042
Se8 0.767 0.733 0.958

---

# Pr5Zn5Ru2

An optimized crystal structure of Pr5Zn5Ru2 (PBE, Alexandria).

Values from the calculation:
* DFT formation energy: -0.25 eV per atom
* size of the total moment: 0.0000 μB per atom
* theoretical density: 7.02 g/cm3

abc: 4.390 8.120 8.782
angles: 85.26 75.53 74.32
Fractional positions:
Zn1 0.000 0.000 0.000
Pr1 0.619 0.079 0.682
Zn2 0.940 0.295 0.826
Pr2 0.702 0.680 0.917
Zn3 0.713 0.233 0.340
Ru1 0.605 0.549 0.241
Ru2 0.395 0.451 0.759
Pr3 0.298 0.320 0.083
Zn4 0.287 0.767 0.660
Pr4 0.000 0.500 0.500
Zn5 0.060 0.705 0.174
Pr5 0.381 0.921 0.318

---

# AcGa3CoIr

An optimized crystal structure of AcGa3CoIr (PBE, Alexandria).

Values from the calculation:
* DFT formation energy: -0.38 eV per atom
* size of the total moment: 0.0001 μB per atom
* theoretical density: 9.17 g/cm3

abc: 6.057 7.380 6.678
angles: 123.54 90.00 90.00
Fractional positions:
Ga1 0.000 0.754 0.000
Co1 0.250 0.020 0.040
Ga2 0.500 0.246 0.000
Ac1 0.250 0.733 0.466
Ga3 0.250 0.217 0.434
Co2 0.750 0.980 0.960
Ir1 0.750 0.571 0.141
Ir2 0.250 0.429 0.859
Ga4 0.000 0.246 0.000
Ga5 0.500 0.754 0.000
Ac2 0.750 0.267 0.534
Ga6 0.750 0.783 0.566

---

# Tl5In3Hg2

An optimized crystal structure of Tl5In3Hg2 (PBE, Alexandria).

Values from the calculation:
* DFT formation energy: 0.01 eV per atom
* size of the total moment: 0.0000 μB per atom
* theoretical density: 10.16 g/cm3

abc: 6.112 9.676 14.414
angles: 130.62 116.44 76.19
Fractional positions:
Tl1 0.471 0.407 0.625
Tl2 0.690 0.479 0.925
Tl3 0.529 0.593 0.375
Hg1 0.505 0.886 0.137
Hg2 0.251 0.258 0.310
Hg3 0.749 0.742 0.690
Tl4 0.851 0.315 0.456
Tl5 0.688 0.980 0.434
In1 0.076 0.923 0.257
In2 0.924 0.077 0.743
In3 0.675 0.193 0.144
Hg4 0.495 0.114 0.863
Tl6 0.080 0.408 0.761
Tl7 0.149 0.685 0.544
In4 0.325 0.807 0.856
Tl8 0.920 0.592 0.239
In5 0.927 0.814 0.966
Tl9 0.312 0.020 0.566
In6 0.073 0.186 0.034
Tl10 0.310 0.521 0.075

---

# NdGa9Co3

An optimized crystal structure of NdGa9Co3 (PBE, Alexandria).

Values from the calculation:
* DFT formation energy: -0.29 eV per atom
* size of the total moment: 0.0000 μB per atom
* theoretical density: 7.34 g/cm3

abc: 10.663 10.663 12.371
angles: 55.97 55.97 21.81
Fractional positions:
Ga1 0.399 0.399 0.027
Ga2 0.820 0.820 0.432
Ga3 0.575 0.575 0.572
Co1 0.874 0.874 0.187
Ga4 0.000 0.000 0.000
Ga5 0.698 0.698 0.045
Co2 0.126 0.126 0.813
Ga6 0.601 0.601 0.973
Ga7 0.439 0.439 0.204
Ga8 0.225 0.225 0.852
Ga9 0.000 0.000 0.500
Ga10 0.302 0.302 0.955
Co3 0.717 0.717 0.391
Co4 0.125 0.125 0.439
Ga11 0.717 0.717 0.702
Ga12 0.380 0.380 0.680
Ga13 0.561 0.561 0.796
Ga14 0.425 0.425 0.428
Ga15 0.180 0.180 0.568
Ga16 0.620 0.620 0.320
Ga17 0.283 0.283 0.298
Co5 0.875 0.875 0.561
Ga18 0.775 0.775 0.148
Nd1 0.952 0.952 0.789
Nd2 0.048 0.048 0.211
Co6 0.283 0.283 0.609

---

# Sc3Zn2Pd4

An optimized crystal structure of Sc3Zn2Pd4 (PBE, Alexandria).

Values from the calculation:
* DFT formation energy: -0.76 eV per atom
* size of the total moment: 0.0000 μB per atom
* theoretical density: 7.41 g/cm3

abc: 4.670 4.604 8.459
angles: 97.75 90.00 120.48
Fractional positions:
Pd1 0.679 0.358 0.100
Sc1 0.365 0.731 0.245
Pd2 0.041 0.083 0.332
Zn1 0.723 0.446 0.415
Pd3 0.321 0.642 0.900
Sc2 0.000 0.000 0.000
Sc3 0.635 0.269 0.755
Zn2 0.277 0.554 0.585
Pd4 0.959 0.917 0.668

---

# Pu2CuTe3

An optimized crystal structure of Pu2CuTe3 (PBE, Alexandria).

Values from the calculation:
* size of the total moment: 1.8334 μB per atom
* raw formation energy: -0.80 eV/atom
* theoretical density: 9.30 g/cm3

abc: 4.333 8.872 17.359
angles: 90.00 90.00 90.00
Site moments in Bohr magnetons follow the coordinates.
Fractional positions:
Te1 0.750 0.181 0.283  -0.11
Pu1 0.750 0.267 0.468  5.45
Cu1 0.750 0.131 0.134  -0.04
Pu2 0.250 0.408 0.212  5.45
Te2 0.250 0.484 0.397  -0.09
Te3 0.250 0.319 0.783  -0.11
Te4 0.250 0.984 0.103  -0.09
Cu2 0.250 0.869 0.866  -0.04
Pu3 0.750 0.767 0.032  5.45
Te5 0.750 0.894 0.431  -0.11
Pu4 0.250 0.233 0.968  5.45
Cu3 0.250 0.369 0.634  -0.04
Pu5 0.250 0.733 0.532  5.45
Te6 0.750 0.394 0.069  -0.11
Te7 0.250 0.819 0.717  -0.11
Te8 0.750 0.016 0.897  -0.09
Te9 0.750 0.516 0.603  -0.09
Pu6 0.250 0.908 0.288  5.45
Te10 0.250 0.106 0.569  -0.11
Te11 0.750 0.681 0.217  -0.11
Te12 0.250 0.606 0.931  -0.11
Pu7 0.750 0.592 0.788  5.45
Cu4 0.750 0.631 0.366  -0.04
Pu8 0.750 0.092 0.712  5.45

---

# La4Ga2Co

An optimized crystal structure of La4Ga2Co (PBE, Alexandria).

Values from the calculation:
* DFT formation energy: -0.35 eV per atom
* size of the total moment: 0.0000 μB per atom
* energy above the most stable polymorph in this dataset: 0 meV/atom
* theoretical density: 6.48 g/cm3

abc: 7.162 6.952 8.547
angles: 65.17 90.00 90.00
Fractional positions:
Ga1 0.250 0.789 0.505
La1 0.250 0.304 0.582
La2 0.750 0.280 0.852
La3 0.519 0.834 0.785
Ga2 0.750 0.552 0.124
La4 0.250 0.720 0.148
La5 0.019 0.166 0.215
Ga3 0.250 0.448 0.876
La6 0.750 0.696 0.418
La7 0.481 0.166 0.215
Ga4 0.750 0.211 0.495
La8 0.981 0.834 0.785
Co1 0.750 0.919 0.106
Co2 0.250 0.081 0.894

---

# LiHgN2

An optimized crystal structure of LiHgN2 (PBE, Alexandria).

Values from the calculation:
* size of the total moment: 0.7500 μB per atom
* raw formation energy: 1.32 eV/atom
* theoretical density: 6.38 g/cm3

abc: 6.858 6.858 6.858
angles: 27.65 27.65 27.65
Site moments in Bohr magnetons follow the coordinates.
Fractional positions:
N1 0.897 0.897 0.897  1.00
Hg1 0.000 0.000 0.000  0.05
Li1 0.500 0.500 0.500  0.01
N2 0.103 0.103 0.103  1.00

---

# Ba2PbI6

An optimized crystal structure of Ba2PbI6 (PBE, Alexandria).

Values from the calculation:
* size of the total moment: 0.0000 μB per atom
* raw formation energy: -1.37 eV/atom
* theoretical density: 4.15 g/cm3

abc: 8.663 8.663 9.146
angles: 61.73 61.73 60.00
Fractional positions:
I1 0.633 0.222 0.264
I2 0.367 0.778 0.736
Ba1 0.806 0.806 0.582
I3 0.882 0.633 0.264
Ba2 0.194 0.194 0.418
I4 0.222 0.882 0.264
I5 0.118 0.367 0.736
I6 0.778 0.118 0.736
Pb1 0.000 0.000 0.000

---

# NiMoW2

An optimized crystal structure of NiMoW2 (PBE, Alexandria).

Values from the calculation:
* DFT formation energy: 0.83 eV per atom
* size of the total moment: 0.0000 μB per atom
* energy above the most stable polymorph in this dataset: 766 meV/atom
* theoretical density: 13.59 g/cm3

abc: 6.958 6.958 5.582
angles: 51.44 51.44 90.00
Fractional positions:
Mo1 0.750 0.250 0.500
W1 0.375 0.394 0.750
Mo2 0.000 0.000 0.000
Ni1 0.250 0.750 0.500
W2 0.144 0.625 0.250
Ni2 0.500 0.500 0.000
W3 0.875 0.856 0.750
W4 0.606 0.125 0.250

---

# ZnCuTe2

An optimized crystal structure of ZnCuTe2 (PBE, Alexandria).

Values from the calculation:
* size of the total moment: 0.0000 μB per atom
* raw formation energy: -0.08 eV/atom
* energy above the most stable polymorph in this dataset: 143 meV/atom
* theoretical density: 6.09 g/cm3

abc: 4.189 4.189 6.891
angles: 90.00 90.00 120.00
Fractional positions:
Zn1 0.000 0.000 0.947
Cu1 0.333 0.667 0.425
Te1 0.333 0.667 0.796
Te2 0.667 0.333 0.287

---

# RbBa2H8Rh

An optimized crystal structure of RbBa2H8Rh (PBE, Alexandria).

Values from the calculation:
* size of the total moment: 0.0000 μB per atom
* theoretical density: 4.26 g/cm3

abc: 5.304 5.304 7.535
angles: 90.00 90.00 120.00
Fractional positions:
Rb1 0.000 0.000 0.500
H1 0.850 0.150 0.875
H2 0.850 0.700 0.875
Ba1 0.333 0.667 0.790
H3 0.700 0.850 0.125
H4 0.150 0.300 0.125
Rh1 0.000 0.000 0.000
H5 0.333 0.667 0.436
H6 0.300 0.150 0.875
H7 0.667 0.333 0.564
Ba2 0.667 0.333 0.210
H8 0.150 0.850 0.125

---

# SrLaNi2

An optimized crystal structure of SrLaNi2 (PBE, Alexandria).

Values from the calculation:
* DFT formation energy: 0.06 eV per atom
* size of the total moment: 0.0000 μB per atom
* energy above the most stable polymorph in this dataset: 226 meV/atom
* theoretical density: 5.59 g/cm3

abc: 4.171 4.171 5.872
angles: 90.00 90.00 90.00
Fractional positions:
La1 0.500 0.500 0.876
Sr1 0.000 0.000 0.375
Ni1 0.000 0.000 0.875
Ni2 0.500 0.500 0.374

---

# PrNd4P5

An optimized crystal structure of PrNd4P5 (PBE, Alexandria).

Values from the calculation:
* DFT formation energy: -1.53 eV per atom
* size of the total moment: 0.0000 μB per atom
* theoretical density: 5.63 g/cm3

abc: 4.179 5.900 11.044
angles: 105.49 100.91 90.00
Fractional positions:
Nd1 0.400 0.400 0.800
P1 0.601 0.101 0.202
P2 0.800 0.300 0.600
P3 0.200 0.700 0.400
P4 0.000 0.500 0.000
Nd2 0.600 0.600 0.200
Nd3 0.800 0.800 0.599
P5 0.399 0.899 0.798
Pr1 0.000 0.000 0.000
Nd4 0.200 0.200 0.401

---

# ZrFe2Si

An optimized crystal structure of ZrFe2Si (PBE, Alexandria).

Values from the calculation:
* size of the total moment: 0.5318 μB per atom
* raw formation energy: -0.22 eV/atom
* theoretical density: 6.78 g/cm3

abc: 4.345 4.345 4.494
angles: 72.15 72.15 44.97
Site moments in Bohr magnetons follow the coordinates.
Fractional positions:
Fe1 0.018 0.018 0.943  1.25
Si1 0.750 0.750 0.750  -0.03
Fe2 0.482 0.482 0.557  1.25
Zr1 0.250 0.250 0.250  -0.24

---

Electronic total energy across the listed records, respectively: -91.17, -23.25, -11.82, -14.39, -13.62, -77.69, -66.59, -51.87, -62.83, -41.03, -114.20, -49.13, -188.01, -70.65, -13.57, -29.15, -78.43, -11.98, -43.99, -17.94, -66.24, -31.78 eV for the cell shown.